1.
Compound: Y2ZrMn
Source: Alexandria via LeMat-Bulk
Functional: PBE
Structure: relaxed

Properties
Space group   No. 166
Energy above the lowest structure with this stoichiometry   192 meV/atom
Density   5.38 g cm⁻³
Calculated formation energy   0.2977 eV per atom

```
data_Y2ZrMn
_cell_length_a 10.458
_cell_length_b 10.458
_cell_length_c 10.458
_cell_angle_alpha 18.45
_cell_angle_beta 18.45
_cell_angle_gamma 18.45
_space_group_name_H-M_alt 'P 1'
_space_group_IT_number 1
_space_group_name_Hall 'P 1'
loop_
_atom_site_label
_atom_site_type_symbol
_atom_site_fract_x
_atom_site_fract_y
_atom_site_fract_z
Y1 Y 0.006 0.006 0.006
Y2 Y 0.494 0.494 0.494
Mn1 Mn 0.750 0.750 0.750
Zr1 Zr 0.250 0.250 0.250
```

***

2.
Compound: Rb2PrCuCl6
Source: Alexandria via LeMat-Bulk
Functional: PBE
Structure: relaxed

Properties
Space group   No. 1
Formation energy without anion corrections   -1.775 eV per atom
Energy above the lowest structure with this stoichiometry   0 meV/atom
Density   3.06 g cm⁻³

```
data_Rb2PrCuCl6
_cell_length_a 7.053
_cell_length_b 7.719
_cell_length_c 7.786
_cell_angle_alpha 120.65
_cell_angle_beta 118.57
_cell_angle_gamma 79.89
_space_group_name_H-M_alt 'P 1'
_space_group_IT_number 1
_space_group_name_Hall 'P 1'
loop_
_atom_site_label
_atom_site_type_symbol
_atom_site_fract_x
_atom_site_fract_y
_atom_site_fract_z
Rb1 Rb 0.199 0.676 0.417
Rb2 Rb 0.800 0.295 0.564
Cl1 Cl 0.203 0.099 0.841
Cl2 Cl 0.714 0.724 0.524
Cl3 Cl 0.749 0.327 0.004
Cl4 Cl 0.757 0.855 0.112
Cl5 Cl 0.229 0.663 0.986
Cl6 Cl 0.264 0.241 0.425
Cu1 Cu 0.594 0.629 0.136
Pr1 Pr 0.990 0.995 0.988
```

***

3.
Compound: AlPbS2
Source: Alexandria via LeMat-Bulk
Functional: PBE
Structure: relaxed

Properties
Space group   No. 123
Formation energy without anion corrections   -0.337 eV per atom
Density   5.35 g cm⁻³

```
data_AlPbS2
_cell_length_a 4.029
_cell_length_b 4.029
_cell_length_c 5.700
_cell_angle_alpha 90.00
_cell_angle_beta 90.00
_cell_angle_gamma 90.00
_space_group_name_H-M_alt 'P 1'
_space_group_IT_number 1
_space_group_name_Hall 'P 1'
loop_
_atom_site_label
_atom_site_type_symbol
_atom_site_fract_x
_atom_site_fract_y
_atom_site_fract_z
S1 S 0.000 0.000 0.000
S2 S 0.500 0.500 0.500
Pb1 Pb 0.500 0.500 0.000
Al1 Al 0.000 0.000 0.500
```